1.
Ta2CrHCl | Alexandria via LeMat-Bulk | GGA-PBE | optimized geometry; space-group type = No. 123; calculated volume = 75 Å³ per cell; ρ = 9.94 g/cm3; total energy = -35.090 eV/cell
1.0
-0.930 -3.073 2.291
2.133 -2.993 -3.147
3.416 0.405 1.930
Cl H Cr Ta
1 1 1 2
direct
0.000 0.500 0.000
0.000 0.000 0.000
0.500 0.500 0.500
0.000 0.000 0.500
0.500 0.000 0.000


2.
TlCrH2Cl8 | Alexandria via LeMat-Bulk | GGA-PBE | optimized geometry; space-group type = No. 2; calculated volume = 323 Å³ per cell; ρ = 2.79 g/cm3; total energy = -42.336 eV/cell
1.0
-1.880 0.662 6.337
-6.256 0.106 -1.992
-0.355 -7.368 0.674
Cl H Cr Tl
8 2 1 1
direct
0.738 0.750 0.035
0.193 0.836 0.221
0.807 0.164 0.779
0.850 0.204 0.221
0.287 0.275 0.542
0.262 0.250 0.965
0.713 0.725 0.458
0.150 0.796 0.779
0.276 0.263 0.761
0.724 0.737 0.239
0.000 0.000 0.000
0.000 0.000 0.500


3.
YCrH2Cl | Alexandria via LeMat-Bulk | GGA-PBE | optimized geometry; space-group type = No. 123; calculated volume = 103 Å³ per cell; ρ = 2.89 g/cm3; total energy = -24.235 eV/cell
1.0
4.047 0.000 0.000
0.000 6.260 0.000
0.000 0.000 4.047
Cr H Cl Y
1 2 1 1
direct
0.000 0.500 0.000
0.500 0.000 0.000
0.000 0.000 0.500
0.500 0.500 0.500
0.000 0.000 0.000


Q: Which value of total energy does entry 3 give?
A: -24.235 eV/cell